Version a
The following is a GGA-PBEsol calculation of a relaxed structure of Li4Ni, from Alexandria.

Cell lengths 6.0050, 6.0050, 3.9320 Å; angles 90.00, 90.00, 90.00 degrees
Last column: nearest neighbours and their distance in Å.
Fractional positions:
Li 0.1081 0.7134 0.0000  9 Li 2.60-2.87, 3 Ni 2.68-2.69
Li 0.2134 0.3919 0.5000  9 Li 2.60-2.87, 3 Ni 2.68-2.69
Li 0.2866 0.1081 0.0000  9 Li 2.60-2.87, 3 Ni 2.68-2.69
Li 0.3919 0.7866 0.5000  9 Li 2.60-2.87, 3 Ni 2.68-2.69
Li 0.6081 0.2134 0.5000  9 Li 2.60-2.87, 3 Ni 2.68-2.69
Li 0.7134 0.8919 0.0000  9 Li 2.60-2.87, 3 Ni 2.68-2.69
Li 0.7866 0.6081 0.5000  9 Li 2.60-2.87, 3 Ni 2.68-2.69
Li 0.8919 0.2866 0.0000  9 Li 2.60-2.87, 3 Ni 2.68-2.69
Ni 0.0000 0.0000 0.5000  12 Li 2.68-2.69
Ni 0.5000 0.5000 0.0000  12 Li 2.68-2.69

## Properties
symmetry = I4/m (87)
density of states at the Fermi level = 1.78 states/eV/f.u.

***

Version b
The following is a GGA-PBEsol calculation of a relaxed structure of Li4Ni, from Alexandria.

Cell lengths 5.6459, 5.6459, 5.6459 Å; angles 90.00, 90.00, 90.00 degrees
Last column: nearest neighbours and their distance in Å.
Fractional positions:
Li 0.2500 0.2500 0.2500  2 Ni 2.44
Li 0.2500 0.2500 0.7500  2 Ni 2.44
Li 0.2500 0.7500 0.2500  2 Ni 2.44
Li 0.2500 0.7500 0.7500  2 Ni 2.44
Li 0.7500 0.2500 0.2500  2 Ni 2.44
Li 0.7500 0.2500 0.7500  2 Ni 2.44
Li 0.7500 0.7500 0.2500  2 Ni 2.44
Li 0.7500 0.7500 0.7500  2 Ni 2.44
Ni 0.0000 0.0000 0.0000  8 Li 2.44
Ni 0.5000 0.5000 0.5000  8 Li 2.44

## Properties
symmetry = Im-3m (229)
density of states at the Fermi level = 1.50 states/eV/f.u.

***

If we sort the structures by their calculated energies, the order from most to least stable is version a, version b.